A plane-wave DFT calculation with PBE was carried out for an optimized crystal structure of La2PrTh3Te6.

Properties
- Theoretical density: 8.0 Mg/m³
- VASP energy: -0.21724 Ha/atom
- D(E_F): 10.88 states/eV/cell
- Space-group type: C2/m
- Energy relative to the elements, uncorrected: -1.27 eV per atom

Structure (POSCAR):
```
La2PrTh3Te6
1.0
4.557 0.000 0.000
0.000 8.939 0.146
-2.278 -2.755 9.531
Pr Te Th La
1 6 3 2
direct
0.500 0.000 0.000
0.667 0.079 0.333
0.666 0.584 0.332
0.334 0.416 0.668
0.001 0.750 0.002
0.999 0.250 0.998
0.333 0.921 0.667
0.833 0.169 0.667
0.167 0.831 0.333
0.500 0.500 0.000
0.166 0.331 0.332
0.834 0.669 0.668
```

***

A plane-wave DFT calculation with PBE was carried out for an optimized crystal structure of LaPr2Tl3Te6.

Properties
- Theoretical density: 6.6 Mg/m³
- VASP energy: -0.16441 Ha/atom
- Space-group type: C2/m
- Energy relative to the elements, uncorrected: -1.10 eV per atom

Structure (POSCAR):
```
LaPr2Tl3Te6
1.0
-5.744 -1.697 5.314
7.650 -1.617 1.723
0.198 8.537 0.929
Tl Te Pr La
3 6 2 1
direct
0.500 0.500 0.500
0.167 0.833 0.500
0.833 0.167 0.500
0.261 0.261 0.778
0.926 0.591 0.778
0.409 0.074 0.222
0.591 0.926 0.778
0.739 0.739 0.222
0.074 0.409 0.222
0.667 0.333 0.000
0.333 0.667 0.000
0.000 0.000 0.000
```

***

A plane-wave DFT calculation with PBE was carried out for an optimized crystal structure of La2PrTl3Te6.

Properties
- Theoretical density: 6.5 Mg/m³
- VASP energy: -0.16582 Ha/atom
- Space-group type: C2/m
- Energy relative to the elements, uncorrected: -1.13 eV per atom

Structure (POSCAR):
```
La2PrTl3Te6
1.0
-2.606 -2.845 -7.060
7.533 2.738 0.702
0.878 -7.430 4.197
Pr Te Tl La
1 6 3 2
direct
0.000 0.000 0.000
0.926 0.595 0.778
0.074 0.405 0.222
0.595 0.926 0.778
0.743 0.743 0.222
0.405 0.074 0.222
0.257 0.257 0.778
0.167 0.833 0.500
0.833 0.167 0.500
0.500 0.500 0.500
0.667 0.333 0.000
0.333 0.667 0.000
```

***

A plane-wave DFT calculation with PBE was carried out for an optimized crystal structure of LaPrTlTe.

Properties
- Theoretical density: 7.4 Mg/m³
- VASP energy: -0.17328 Ha/atom
- D(E_F): 3.87 states/eV/cell
- Space-group type: P4/mmm
- Energy relative to the elements, uncorrected: -0.91 eV per atom

Structure (POSCAR):
```
LaPrTlTe
1.0
4.587 0.000 0.000
0.000 4.587 0.000
0.000 0.000 6.484
Tl Te La Pr
1 1 1 1
direct
0.000 0.000 0.000
0.500 0.500 0.500
0.500 0.500 0.000
0.000 0.000 0.500
```

***

A plane-wave DFT calculation with PBE was carried out for an optimized crystal structure of La3Pr3TmTe8.

Properties
- Theoretical density: 6.4 Mg/m³
- VASP energy: -0.19930 Ha/atom
- D(E_F): 7.92 states/eV/cell
- Space-group type: R-3m
- Energy relative to the elements, uncorrected: -1.51 eV per atom

Structure (POSCAR):
```
La3Pr3TmTe8
1.0
-5.923 -5.673 -3.824
3.577 -1.961 8.077
-6.001 6.780 -0.766
Tm Te Pr La
1 8 3 3
direct
0.000 0.000 0.500
0.755 0.999 0.742
0.243 0.487 0.742
0.251 0.501 0.252
0.244 0.999 0.742
0.245 0.001 0.258
0.757 0.513 0.258
0.749 0.499 0.748
0.756 0.001 0.258
0.000 0.500 0.500
0.500 0.500 0.500
0.500 0.000 0.500
0.500 0.500 0.000
0.000 0.500 0.000
0.000 0.000 0.000
```

***

A plane-wave DFT calculation with PBE was carried out for an optimized crystal structure of LaPr2TmTe5.

Properties
- Theoretical density: 5.7 Mg/m³
- VASP energy: -0.17620 Ha/atom
- D(E_F): 8.18 states/eV/cell
- Space-group type: P4/mmm
- Energy relative to the elements, uncorrected: -0.94 eV per atom

Structure (POSCAR):
```
LaPr2TmTe5
1.0
5.493 0.000 0.000
0.000 5.493 0.000
0.000 0.000 11.858
Pr Te La Tm
2 5 1 1
direct
0.500 0.500 0.339
0.500 0.500 0.661
0.000 0.000 0.748
0.000 0.000 0.252
0.500 0.500 0.000
0.500 0.000 0.500
0.000 0.500 0.500
0.000 0.000 0.000
0.000 0.000 0.500
```